Entry 1:
Below is a geometry-optimized CsCd3Hg structure, with properties calculated at the PBE-GGA level.

Summary:
As for the density: 2.64 g cm⁻³. The calculation puts the offset from the most stable computed form at 0.533 eV per atom. Its symmetry is Pm-3m, No. 221. For the energy of formation from the pure elements, the calculation gives 0.441 eV per atom.

Cell and atoms, written as POSCAR:
```
CsCd3Hg
1.0
7.498 0.000 0.000
0.000 7.498 0.000
0.000 0.000 7.498
Cs Cd Hg
1 3 1
Cartesian
0.000 0.000 0.000
0.000 0.000 3.749
0.000 3.749 0.000
3.749 0.000 0.000
3.749 3.749 3.749
```

Entry 2:
Below is a geometry-optimized Cs3Cd2Hg9 structure, with properties calculated at the PBE-GGA level.

Summary:
As for the density: 8.28 g cm⁻³. Its symmetry is Immm, No. 71. For the energy of formation from the pure elements, the calculation gives -0.187 eV per atom.

Cell and atoms, written as POSCAR:
```
Cs3Cd2Hg9
1.0
-2.719 5.744 7.802
2.719 -5.744 7.802
2.719 5.744 -7.802
Cs Cd Hg
3 2 9
Cartesian
0.000 0.000 0.000
0.000 0.000 4.766
0.000 0.000 10.838
2.719 3.286 0.000
0.000 2.458 7.802
2.719 -1.644 2.609
2.719 -2.489 5.772
2.719 1.644 2.609
0.000 3.256 2.030
0.000 5.744 0.000
2.719 2.489 5.772
0.000 4.101 5.193
0.000 8.233 2.030
0.000 7.388 5.193
```

Entry 3:
Below is a geometry-optimized Cs2CdHg12 structure, with properties calculated at the PBE-GGA level.

Summary:
As for the density: 9.08 g cm⁻³. Its symmetry is P4/nbm, No. 125. For the energy of formation from the pure elements, the calculation gives -0.132 eV per atom.

Cell and atoms, written as POSCAR:
```
Cs2CdHg12
1.0
7.407 0.000 0.000
0.000 7.407 0.000
0.000 0.000 18.573
Cs Cd Hg
4 2 24
Cartesian
1.852 5.555 4.573
1.852 5.555 14.000
5.555 1.852 4.573
5.555 1.852 14.000
1.852 5.555 0.000
5.555 1.852 0.000
7.406 0.001 1.592
0.001 7.406 16.981
0.001 3.704 1.592
7.406 3.702 16.981
0.691 4.394 8.081
0.691 6.715 10.492
1.852 1.852 3.315
1.852 1.852 6.539
1.852 1.852 12.034
1.852 1.852 15.258
3.012 4.394 10.492
3.012 6.715 8.081
3.702 7.406 1.592
3.704 0.001 16.981
3.704 3.702 1.592
3.702 3.704 16.981
4.394 0.691 10.492
4.394 3.012 8.081
5.555 5.555 3.315
5.555 5.555 6.539
5.555 5.555 12.034
5.555 5.555 15.258
6.715 0.691 8.081
6.715 3.012 10.492
```

Entry 4:
Below is a geometry-optimized CsCd4Hg4 structure, with properties calculated at the PBE-GGA level.

Summary:
As for the density: 8.22 g cm⁻³. Its symmetry is I4/m, No. 87. For the energy of formation from the pure elements, the calculation gives -0.034 eV per atom.

Cell and atoms, written as POSCAR:
```
CsCd4Hg4
1.0
-4.994 4.994 2.804
4.994 -4.994 2.804
4.994 4.994 -2.804
Cs Cd Hg
1 4 4
Cartesian
0.000 0.000 0.000
6.500 2.232 0.000
2.232 3.487 0.000
2.762 1.506 2.804
-1.506 2.762 2.804
3.740 0.963 0.000
4.031 -1.254 2.804
0.963 6.248 0.000
1.254 4.031 2.804
```

Entry 5:
Below is a geometry-optimized CsCdHg3 structure, with properties calculated at the PBE-GGA level.

Summary:
As for the density: 8.09 g cm⁻³. The calculation puts the offset from the most stable computed form at 0.011 eV per atom. Its symmetry is Cm, No. 8. For the energy of formation from the pure elements, the calculation gives -0.153 eV per atom.

Cell and atoms, written as POSCAR:
```
CsCdHg3
1.0
7.524 -3.780 0.000
7.524 3.780 0.000
-0.154 0.000 6.115
Cs Cd Hg
2 2 6
Cartesian
0.000 0.000 0.000
10.557 0.000 6.096
3.560 0.000 4.327
6.990 0.000 1.760
5.276 2.266 3.049
3.752 0.000 1.173
9.037 1.888 3.047
6.808 0.000 4.913
5.276 -2.266 3.049
9.037 -1.888 3.047
```

Entry 6:
Below is a geometry-optimized Cs8Cd2Hg3 structure, with properties calculated at the PBE-GGA level.

Summary:
As for the density: 3.74 g cm⁻³. Its symmetry is Cmmm, No. 65. For the energy of formation from the pure elements, the calculation gives -0.084 eV per atom.

Cell and atoms, written as POSCAR:
```
Cs8Cd2Hg3
1.0
6.686 -9.363 0.000
6.686 9.363 0.000
0.000 0.000 6.693
Cs Cd Hg
8 2 3
Cartesian
6.686 7.071 0.000
3.349 2.310 3.347
3.349 -2.310 3.347
6.686 2.345 0.000
6.686 -2.345 0.000
10.024 2.310 3.347
10.024 -2.310 3.347
6.686 -7.071 0.000
6.686 4.783 3.347
6.686 -4.783 3.347
0.000 0.000 3.347
3.288 0.000 0.000
10.084 0.000 0.000
```

Entry 7:
Below is a geometry-optimized Cs4Cd4Hg structure, with properties calculated at the PBE-GGA level.

Summary:
As for the density: 4.38 g cm⁻³. Its symmetry is P4_2/n, No. 86. For the energy of formation from the pure elements, the calculation gives -0.050 eV per atom.

Cell and atoms, written as POSCAR:
```
Cs4Cd4Hg
1.0
11.089 0.000 0.000
0.000 11.089 0.000
0.000 0.000 7.286
Cs Cd Hg
8 8 2
Cartesian
0.625 9.211 0.880
1.878 6.169 4.523
3.667 10.464 4.523
4.920 7.422 0.880
6.169 3.667 6.407
7.422 0.625 2.763
9.211 4.920 2.763
10.464 1.878 6.407
1.170 2.187 2.853
2.187 4.375 0.790
3.357 1.170 0.790
4.375 3.357 2.853
6.714 7.732 4.433
7.732 9.919 6.497
8.901 6.714 6.497
9.919 8.901 4.433
2.772 2.772 5.465
8.317 8.317 1.822
```

Entry 8:
Below is a geometry-optimized CsCdHg3 structure, with properties calculated at the PBE-GGA level.

Summary:
As for the density: 3.85 g cm⁻³. The calculation puts the offset from the most stable computed form at 0.387 eV per atom. Its symmetry is Pm-3m, No. 221. For the energy of formation from the pure elements, the calculation gives 0.223 eV per atom.

Cell and atoms, written as POSCAR:
```
CsCdHg3
1.0
7.152 0.000 0.000
0.000 7.152 0.000
0.000 0.000 7.152
Cs Cd Hg
1 1 3
Cartesian
0.000 0.000 0.000
3.576 3.576 3.576
0.000 0.000 3.576
0.000 3.576 0.000
3.576 0.000 0.000
```

Entry 9:
Below is a geometry-optimized CsCd2Hg3 structure, with properties calculated at the PBE-GGA level.

Summary:
As for the density: 8.25 g cm⁻³. Its symmetry is Cmcm, No. 63. For the energy of formation from the pure elements, the calculation gives -0.136 eV per atom.

Cell and atoms, written as POSCAR:
```
CsCd2Hg3
1.0
6.349 -4.855 0.000
6.349 4.855 0.000
0.000 0.000 6.264
Cs Cd Hg
2 4 6
Cartesian
6.349 3.221 4.698
6.349 -3.221 1.566
3.656 0.000 0.000
3.656 0.000 3.132
9.042 0.000 0.000
9.042 0.000 3.132
3.963 2.635 1.566
8.735 2.635 1.566
6.349 0.676 1.566
6.349 -0.676 4.698
3.963 -2.635 4.698
8.735 -2.635 4.698
```

Entry 10:
Below is a geometry-optimized Cs8CdHg6 structure, with properties calculated at the PBE-GGA level.

Summary:
As for the density: 4.28 g cm⁻³. Its symmetry is R-3, No. 148. For the energy of formation from the pure elements, the calculation gives -0.160 eV per atom.

Cell and atoms, written as POSCAR:
```
Cs8CdHg6
1.0
6.002 3.465 7.402
-6.002 3.465 7.402
0.000 -6.930 7.402
Cs Cd Hg
8 1 6
Cartesian
-3.152 0.368 8.799
0.000 0.000 4.098
-1.895 -2.545 13.409
1.257 -2.913 8.799
-1.257 2.913 13.409
1.895 2.545 8.799
0.000 0.000 18.110
3.152 -0.368 13.409
0.000 0.000 11.104
-2.373 -4.328 9.943
-4.935 -0.109 12.264
-2.561 4.219 9.943
2.561 -4.219 12.264
4.935 0.109 9.943
2.373 4.328 12.264
```

Entry 11:
Below is a geometry-optimized Cs3CdHg2 structure, with properties calculated at the PBE-GGA level.

Summary:
As for the density: 4.31 g cm⁻³. The calculation puts the offset from the most stable computed form at 0.041 eV per atom. Its symmetry is C2/m, No. 12. For the energy of formation from the pure elements, the calculation gives -0.123 eV per atom.

Cell and atoms, written as POSCAR:
```
Cs3CdHg2
1.0
9.702 -2.643 0.000
9.702 2.643 0.000
-5.096 0.000 13.703
Cs Cd Hg
6 2 4
Cartesian
-0.284 0.000 3.637
0.950 0.000 8.375
1.825 0.000 13.560
12.482 0.000 0.142
13.357 0.000 5.328
14.590 0.000 10.065
6.417 0.000 4.045
7.890 0.000 9.658
-1.305 0.000 11.287
5.682 0.000 7.299
8.625 0.000 6.404
15.612 0.000 2.416
```

Entry 12:
Below is a geometry-optimized Cs3Cd3Hg8 structure, with properties calculated at the PBE-GGA level.

Summary:
As for the density: 8.10 g cm⁻³. Its symmetry is Immm, No. 71. For the energy of formation from the pure elements, the calculation gives -0.175 eV per atom.

Cell and atoms, written as POSCAR:
```
Cs3Cd3Hg8
1.0
-2.711 5.484 8.067
2.711 -5.484 8.067
2.711 5.484 -8.067
Cs Cd Hg
3 3 8
Cartesian
0.000 0.000 0.000
0.000 0.000 4.571
0.000 0.000 11.562
2.711 3.756 0.000
0.000 5.484 0.000
0.000 1.728 8.067
2.711 -1.679 2.493
2.711 -2.241 6.001
2.711 1.679 2.493
0.000 3.243 2.066
2.711 2.241 6.001
0.000 3.805 5.573
0.000 7.725 2.066
0.000 7.163 5.573
```

Entry 13:
Below is a geometry-optimized Cs6CdHg4 structure, with properties calculated at the PBE-GGA level.

Summary:
As for the density: 4.58 g cm⁻³. Its symmetry is P6_3mc, No. 186. For the energy of formation from the pure elements, the calculation gives -0.173 eV per atom.

Cell and atoms, written as POSCAR:
```
Cs6CdHg4
1.0
12.325 0.000 0.000
-6.162 10.674 0.000
0.000 0.000 9.447
Cs Cd Hg
12 2 8
Cartesian
-2.533 5.653 0.000
0.000 2.828 2.997
-3.713 9.259 2.997
2.449 1.414 7.720
2.533 5.653 0.000
0.000 10.040 0.000
6.162 0.633 4.723
3.630 5.020 4.723
3.713 9.259 2.997
9.876 1.414 7.720
6.162 7.845 7.720
8.695 5.020 4.723
0.000 7.116 5.754
6.162 3.558 1.031
0.000 4.262 6.687
-2.471 8.542 6.687
0.000 7.116 2.725
3.691 2.131 1.964
2.471 8.542 6.687
6.162 3.558 7.449
8.633 2.131 1.964
6.162 6.411 1.964
```

Entry 14:
Below is a geometry-optimized Cs2CdHg7 structure, with properties calculated at the PBE-GGA level.

Summary:
As for the density: 8.44 g cm⁻³. Its symmetry is P-4m2, No. 115. For the energy of formation from the pure elements, the calculation gives -0.190 eV per atom.

Cell and atoms, written as POSCAR:
```
Cs2CdHg7
1.0
5.210 0.000 0.000
0.000 5.210 0.000
0.000 0.000 12.915
Cs Cd Hg
2 1 7
Cartesian
0.000 2.605 3.216
2.605 0.000 9.698
0.000 0.000 6.457
0.000 0.000 0.000
0.000 2.605 8.084
0.000 2.605 11.174
2.605 0.000 1.740
2.605 0.000 4.831
2.605 2.605 0.000
2.605 2.605 6.457
```

Entry 15:
Below is a geometry-optimized CsCdHg2 structure, with properties calculated at the PBE-GGA level.

Summary:
As for the density: 7.07 g cm⁻³. Its symmetry is Cmcm, No. 63. For the energy of formation from the pure elements, the calculation gives -0.183 eV per atom.

Cell and atoms, written as POSCAR:
```
CsCdHg2
1.0
2.717 -10.150 0.000
2.717 10.150 0.000
0.000 0.000 5.503
Cs Cd Hg
2 2 4
Cartesian
2.717 7.933 4.127
2.717 -7.933 1.376
2.717 3.809 4.127
2.717 -3.809 1.376
2.717 5.118 1.376
2.717 0.763 4.127
2.717 -0.763 1.376
2.717 -5.118 4.127
```

Entry 16:
Below is a geometry-optimized CsCd3Hg10 structure, with properties calculated at the PBE-GGA level.

Summary:
As for the density: 9.11 g cm⁻³. Its symmetry is Fm-3m, No. 225. For the energy of formation from the pure elements, the calculation gives -0.034 eV per atom.

Cell and atoms, written as POSCAR:
```
CsCd3Hg10
1.0
0.000 7.670 7.670
7.670 0.000 7.670
7.670 7.670 0.000
Cs Cd Hg
2 6 20
Cartesian
3.835 3.835 3.835
11.505 11.505 11.505
7.670 7.670 3.727
7.670 3.727 7.670
11.613 7.670 7.670
3.727 7.670 7.670
7.670 11.613 7.670
7.670 7.670 11.613
1.640 1.640 1.640
6.030 6.030 1.640
6.030 1.640 6.030
7.670 4.975 4.975
10.366 7.670 4.975
10.366 4.975 7.670
13.700 9.310 9.310
4.975 7.670 4.975
7.670 10.366 4.975
4.975 4.975 7.670
10.366 10.366 7.670
7.670 4.975 10.366
10.366 7.670 10.366
1.640 6.030 6.030
4.975 10.366 7.670
4.975 7.670 10.366
7.670 10.366 10.366
9.310 13.700 9.310
9.310 9.310 13.700
13.700 13.700 13.700
```

Entry 17:
Below is a geometry-optimized Cs4Cd2Hg structure, with properties calculated at the PBE-GGA level.

Summary:
As for the density: 3.99 g cm⁻³. The calculation puts the offset from the most stable computed form at 0.000 eV per atom. Its symmetry is P-1, No. 2. For the energy of formation from the pure elements, the calculation gives -0.067 eV per atom.

Cell and atoms, written as POSCAR:
```
Cs4Cd2Hg
1.0
8.560 0.000 0.000
4.265 8.418 0.000
4.265 2.004 11.064
Cs Cd Hg
8 4 2
Cartesian
2.141 2.596 2.799
14.949 7.827 8.265
4.263 3.309 6.983
8.544 3.889 9.583
6.405 2.593 2.803
10.684 7.829 8.261
8.545 6.534 1.481
12.827 7.113 4.081
0.000 0.000 0.000
4.269 5.478 0.564
8.545 5.211 5.532
12.821 4.945 10.500
8.537 8.194 4.948
8.552 2.228 6.116
```

Entry 18:
Below is a geometry-optimized Cs3Cd6Hg5 structure, with properties calculated at the PBE-GGA level.

Summary:
As for the density: 7.08 g cm⁻³. Its symmetry is Pmmn, No. 59. For the energy of formation from the pure elements, the calculation gives -0.131 eV per atom.

Cell and atoms, written as POSCAR:
```
Cs3Cd6Hg5
1.0
5.003 0.000 0.000
0.000 14.826 0.000
0.000 0.000 13.126
Cs Cd Hg
6 12 10
Cartesian
1.251 1.517 3.266
1.251 5.896 3.266
1.251 11.119 3.105
3.752 3.706 10.020
3.752 8.930 9.859
3.752 13.309 9.859
1.251 0.949 11.782
1.251 3.706 6.945
1.251 3.706 13.113
1.251 6.464 11.782
1.251 8.436 6.342
1.251 13.803 6.342
3.752 1.023 6.784
3.752 6.390 6.784
3.752 8.362 1.344
3.752 11.119 0.013
3.752 11.119 6.181
3.752 13.877 1.344
1.251 1.103 8.614
1.251 6.310 8.614
1.251 9.303 12.831
1.251 11.119 7.789
1.251 12.936 12.831
3.752 1.890 0.295
3.752 3.706 5.337
3.752 5.523 0.295
3.752 8.516 4.511
3.752 13.723 4.511
```